GaIN2O after structural relaxation. Source: Alexandria via LeMat-Bulk, functional PBE.

Its formation energy without anion corrections is 1.10 eV/atom. Its uncorrected energy is -0.3043 Ry per atom.

CIF file:
```
data_GaIN2O
_symmetry_space_group_name_H-M 'P 4/m m m'
_symmetry_Int_Tables_number 123
_symmetry_space_group_name_Hall '-P 4 2'
_cell_length_a 4.048
_cell_length_b 4.048
_cell_length_c 3.778
_cell_angle_alpha 90.00
_cell_angle_beta 90.00
_cell_angle_gamma 90.00
loop_
_atom_site_label
_atom_site_type_symbol
_atom_site_fract_x
_atom_site_fract_y
_atom_site_fract_z
Ga1 Ga 0.000 0.000 0.000
I1 I 0.500 0.500 0.500
N1 N 0.000 0.500 0.000
O1 O 0.000 0.000 0.500
```


Re2OsAu after structural relaxation. Source: Alexandria via LeMat-Bulk, functional PBE.

Its excess energy over the best structure of this formula in the dataset is 0.070 eV/atom. The formation energy from the elements is 321.1 meV per atom. Its uncorrected energy is -0.7004 Ry per atom.

CIF file:
```
data_Re2OsAu
_symmetry_space_group_name_H-M 'P m m m'
_symmetry_Int_Tables_number 47
_symmetry_space_group_name_Hall '-P 2 2'
_cell_length_a 2.788
_cell_length_b 3.982
_cell_length_c 5.576
_cell_angle_alpha 90.00
_cell_angle_beta 90.00
_cell_angle_gamma 90.00
loop_
_atom_site_label
_atom_site_type_symbol
_atom_site_fract_x
_atom_site_fract_y
_atom_site_fract_z
Re1 Re 0.000 0.000 0.224
Os1 Os 0.500 0.500 0.000
Au1 Au 0.500 0.500 0.500
```


BiAsIrOs2 after structural relaxation. Source: Alexandria via LeMat-Bulk, functional PBE.

The formation energy from the elements is 1572.2 meV per atom. Its uncorrected energy is -0.4702 Ry per atom.

CIF file:
```
data_BiAsIrOs2
_symmetry_space_group_name_H-M 'P 4/m m m'
_symmetry_Int_Tables_number 123
_symmetry_space_group_name_Hall '-P 4 2'
_cell_length_a 4.866
_cell_length_b 4.866
_cell_length_c 4.630
_cell_angle_alpha 90.00
_cell_angle_beta 90.00
_cell_angle_gamma 90.00
loop_
_atom_site_label
_atom_site_type_symbol
_atom_site_fract_x
_atom_site_fract_y
_atom_site_fract_z
Bi1 Bi 0.000 0.000 0.000
As1 As 0.500 0.500 0.000
Ir1 Ir 0.500 0.500 0.500
Os1 Os 0.000 0.500 0.500
```


YZrTc2 after structural relaxation. Source: Alexandria via LeMat-Bulk, functional PBE.

The formation energy from the elements is -65.8 meV per atom. Its uncorrected energy is -0.6616 Ry per atom.

CIF file:
```
data_YZrTc2
_symmetry_space_group_name_H-M 'I m m 2'
_symmetry_Int_Tables_number 44
_symmetry_space_group_name_Hall 'I 2 -2'
_cell_length_a 3.308
_cell_length_b 4.682
_cell_length_c 9.911
_cell_angle_alpha 90.00
_cell_angle_beta 90.00
_cell_angle_gamma 90.00
loop_
_atom_site_label
_atom_site_type_symbol
_atom_site_fract_x
_atom_site_fract_y
_atom_site_fract_z
Y1 Y 0.000 0.000 0.000
Zr1 Zr 0.000 0.500 0.774
Tc1 Tc 0.000 0.000 0.526
Tc2 Tc 0.000 0.500 0.239
```


Pm4CuPt2 after structural relaxation. Source: Alexandria via LeMat-Bulk, functional PBE.

The formation energy from the elements is -673.5 meV per atom. Its uncorrected energy is -0.4189 Ry per atom.

CIF file:
```
data_Pm4CuPt2
_symmetry_space_group_name_H-M 'C 1 2/m 1'
_symmetry_Int_Tables_number 12
_symmetry_space_group_name_Hall '-C 2y'
_cell_length_a 13.877
_cell_length_b 4.433
_cell_length_c 7.311
_cell_angle_alpha 90.00
_cell_angle_beta 119.39
_cell_angle_gamma 90.00
loop_
_atom_site_label
_atom_site_type_symbol
_atom_site_fract_x
_atom_site_fract_y
_atom_site_fract_z
Pm1 Pm 0.111 0.000 0.324
Pm2 Pm 0.149 0.500 0.785
Cu1 Cu 0.000 0.500 0.000
Pt1 Pt 0.217 0.500 0.229
```


DyCoH after structural relaxation. Source: Alexandria via LeMat-Bulk, functional PBE.

Its excess energy over the best structure of this formula in the dataset is 0.000 eV/atom. Its uncorrected energy is -0.3974 Ry per atom.

CIF file:
```
data_DyCoH
_symmetry_space_group_name_H-M 'R -3 m'
_symmetry_Int_Tables_number 166
_symmetry_space_group_name_Hall '-R 3 2"'
_cell_length_a 3.7819
_cell_length_b 3.7819
_cell_length_c 21.4034
_cell_angle_alpha 90.00
_cell_angle_beta 90.00
_cell_angle_gamma 120.00
loop_
_atom_site_label
_atom_site_type_symbol
_atom_site_fract_x
_atom_site_fract_y
_atom_site_fract_z
Dy1 Dy 0.0000 0.0000 0.0939
Co1 Co 0.0000 0.0000 0.3349
H1 H 0.0000 0.0000 0.1995
```


U2Ge3 after structural relaxation. Source: Alexandria via LeMat-Bulk, functional PBE.

The formation energy from the elements is -29.2 meV per atom. Its uncorrected energy is -0.5376 Ry per atom.

CIF file:
```
data_U2Ge3
_symmetry_space_group_name_H-M 'P -6 m 2'
_symmetry_Int_Tables_number 187
_symmetry_space_group_name_Hall 'P -6 2'
_cell_length_a 4.5365
_cell_length_b 4.5365
_cell_length_c 6.0620
_cell_angle_alpha 90.00
_cell_angle_beta 90.00
_cell_angle_gamma 120.00
loop_
_atom_site_label
_atom_site_type_symbol
_atom_site_fract_x
_atom_site_fract_y
_atom_site_fract_z
U1 U 0.0000 0.0000 0.2211
Ge1 Ge 0.3333 0.6667 0.5000
Ge2 Ge 0.6667 0.3333 0.0000
Ge3 Ge 0.6667 0.3333 0.5000
```


TmPuSc14 after structural relaxation. Source: Alexandria via LeMat-Bulk, functional PBE.

The formation energy from the elements is 63.2 meV per atom. Its uncorrected energy is -0.4889 Ry per atom.

CIF file:
```
data_TmPuSc14
_symmetry_space_group_name_H-M 'A m m 2'
_symmetry_Int_Tables_number 38
_symmetry_space_group_name_Hall 'A 2 -2'
_cell_length_a 10.271
_cell_length_b 7.401
_cell_length_c 10.451
_cell_angle_alpha 90.00
_cell_angle_beta 90.00
_cell_angle_gamma 90.00
loop_
_atom_site_label
_atom_site_type_symbol
_atom_site_fract_x
_atom_site_fract_y
_atom_site_fract_z
Tm1 Tm 0.000 0.000 0.000
Pu1 Pu 0.000 0.000 0.545
Sc1 Sc 0.000 0.212 0.272
Sc2 Sc 0.236 0.000 0.755
Sc3 Sc 0.254 0.213 0.482
Sc4 Sc 0.268 0.000 0.208
Sc5 Sc 0.500 0.000 0.415
Sc6 Sc 0.500 0.000 0.962
Sc7 Sc 0.500 0.209 0.692
```